[1]
Computed, not measured: a geometry-optimized OsAu2 structure at the PBE level of DFT.

Geometry as CIF:
```
data_OsAu2
_cell_length_a 10.688
_cell_length_b 2.833
_cell_length_c 7.023
_cell_angle_alpha 90.00
_cell_angle_beta 106.31
_cell_angle_gamma 90.00
_space_group_name_H-M_alt 'C 1 m 1'
_space_group_IT_number 8
_space_group_name_Hall 'C -2y'
loop_
_atom_site_label
_atom_site_fract_x
_atom_site_fract_y
_atom_site_fract_z
Os1 0.000 0.000 0.000
Os2 0.141 0.500 0.277
Au1 0.093 0.500 0.725
Au2 0.283 0.000 0.049
Au3 0.304 0.000 0.632
Au4 0.440 0.500 0.387
```

Output
The mass density comes out at 19.01 g/cm³. The calculation puts the excess energy over the best structure of this formula in the dataset at 106 meV/atom. The value obtained for the formation energy is 0.527 eV per atom.

***

[2]
Computed, not measured: a geometry-optimized OsAu2 structure at the PBE level of DFT.

Geometry as CIF:
```
data_OsAu2
_cell_length_a 11.647
_cell_length_b 2.788
_cell_length_c 6.548
_cell_angle_alpha 90.00
_cell_angle_beta 105.86
_cell_angle_gamma 90.00
_space_group_name_H-M_alt 'C 1 2/m 1'
_space_group_IT_number 12
_space_group_name_Hall '-C 2y'
loop_
_atom_site_label
_atom_site_fract_x
_atom_site_fract_y
_atom_site_fract_z
Os1 0.020 0.000 0.330
Au1 0.126 0.500 0.027
Au2 0.200 0.500 0.646
```

Output
The mass density comes out at 18.97 g/cm³. The calculation puts the excess energy over the best structure of this formula in the dataset at 140 meV/atom. The value obtained for the formation energy is 0.561 eV per atom.

***

[3]
Computed, not measured: a geometry-optimized Os3Au5 structure at the PBE level of DFT.

Geometry as CIF:
```
data_Os3Au5
_cell_length_a 4.157
_cell_length_b 12.273
_cell_length_c 11.222
_cell_angle_alpha 90.00
_cell_angle_beta 90.11
_cell_angle_gamma 90.00
_space_group_name_H-M_alt 'C 1 2/m 1'
_space_group_IT_number 12
_space_group_name_Hall '-C 2y'
loop_
_atom_site_label
_atom_site_fract_x
_atom_site_fract_y
_atom_site_fract_z
Os1 0.000 0.000 0.110
Os2 0.000 0.184 0.000
Os3 0.000 0.304 0.500
Au1 0.001 0.151 0.325
Au2 0.001 0.363 0.157
Au3 0.001 0.500 0.376
```

Output
The mass density comes out at 18.05 g/cm³. The calculation puts the excess energy over the best structure of this formula in the dataset at 0 meV/atom. The value obtained for the formation energy is 0.549 eV per atom.

***

[4]
Computed, not measured: a geometry-optimized Os2Au structure at the PBE level of DFT.

Geometry as CIF:
```
data_Os2Au
_cell_length_a 4.4608
_cell_length_b 4.4608
_cell_length_c 2.7222
_cell_angle_alpha 90.00
_cell_angle_beta 90.00
_cell_angle_gamma 120.00
_space_group_name_H-M_alt 'P -3 m 1'
_space_group_IT_number 164
_space_group_name_Hall '-P 3 2"'
loop_
_atom_site_label
_atom_site_fract_x
_atom_site_fract_y
_atom_site_fract_z
Os1 0.3333 0.6667 0.2441
Au1 0.0000 0.0000 0.0000
```

Output
The mass density comes out at 20.44 g/cm³. The calculation puts the excess energy over the best structure of this formula in the dataset at 520 meV/atom. The value obtained for the formation energy is 0.857 eV per atom.

***

[5]
Computed, not measured: a geometry-optimized Os3Au structure at the PBE level of DFT.

Geometry as CIF:
```
data_Os3Au
_cell_length_a 5.5903
_cell_length_b 5.5903
_cell_length_c 4.4525
_cell_angle_alpha 90.00
_cell_angle_beta 90.00
_cell_angle_gamma 120.00
_space_group_name_H-M_alt 'P 63/m m c'
_space_group_IT_number 194
_space_group_name_Hall '-P 6c 2c'
loop_
_atom_site_label
_atom_site_fract_x
_atom_site_fract_y
_atom_site_fract_z
Os1 0.1668 0.3335 0.2500
Au1 0.3333 0.6667 0.7500
```

Output
The mass density comes out at 21.16 g/cm³. The calculation puts the excess energy over the best structure of this formula in the dataset at 337 meV/atom. The value obtained for the formation energy is 0.656 eV per atom.

***

[6]
Computed, not measured: a geometry-optimized Os2Au structure at the PBE level of DFT.

Geometry as CIF:
```
data_Os2Au
_cell_length_a 4.4803
_cell_length_b 4.4803
_cell_length_c 5.3955
_cell_angle_alpha 90.00
_cell_angle_beta 90.00
_cell_angle_gamma 120.00
_space_group_name_H-M_alt 'P 63/m m c'
_space_group_IT_number 194
_space_group_name_Hall '-P 6c 2c'
loop_
_atom_site_label
_atom_site_fract_x
_atom_site_fract_y
_atom_site_fract_z
Os1 0.0000 0.0000 0.0000
Os2 0.3333 0.6667 0.2500
Au1 0.3333 0.6667 0.7500
```

Output
The mass density comes out at 20.45 g/cm³. The calculation puts the excess energy over the best structure of this formula in the dataset at 680 meV/atom. The value obtained for the formation energy is 1.017 eV per atom.

***

[7]
Computed, not measured: a geometry-optimized OsAu2 structure at the PBE level of DFT.

Geometry as CIF:
```
data_OsAu2
_cell_length_a 4.322
_cell_length_b 12.425
_cell_length_c 3.825
_cell_angle_alpha 90.00
_cell_angle_beta 90.00
_cell_angle_gamma 90.00
_space_group_name_H-M_alt 'C m c m'
_space_group_IT_number 63
_space_group_name_Hall '-C 2c 2'
loop_
_atom_site_label
_atom_site_fract_x
_atom_site_fract_y
_atom_site_fract_z
Os1 0.000 0.062 0.250
Au1 0.000 0.244 0.750
Au2 0.000 0.413 0.250
```

Output
The mass density comes out at 18.89 g/cm³. The calculation puts the excess energy over the best structure of this formula in the dataset at 149 meV/atom. The value obtained for the formation energy is 0.570 eV per atom.

***

[8]
Computed, not measured: a geometry-optimized Os3Au structure at the PBE level of DFT.

Geometry as CIF:
```
data_Os3Au
_cell_length_a 4.829
_cell_length_b 9.040
_cell_length_c 5.525
_cell_angle_alpha 90.00
_cell_angle_beta 90.00
_cell_angle_gamma 90.00
_space_group_name_H-M_alt 'P n m a'
_space_group_IT_number 62
_space_group_name_Hall '-P 2ac 2n'
loop_
_atom_site_label
_atom_site_fract_x
_atom_site_fract_y
_atom_site_fract_z
Os1 0.077 0.250 0.138
Os2 0.239 0.507 0.880
Au1 0.087 0.250 0.629
```

Output
The mass density comes out at 21.14 g/cm³. The calculation puts the excess energy over the best structure of this formula in the dataset at 178 meV/atom. The value obtained for the formation energy is 0.497 eV per atom.

***

[9]
Computed, not measured: a geometry-optimized Os2Au structure at the PBE level of DFT.

Geometry as CIF:
```
data_Os2Au
_cell_length_a 2.782
_cell_length_b 15.071
_cell_length_c 4.454
_cell_angle_alpha 90.00
_cell_angle_beta 90.00
_cell_angle_gamma 90.00
_space_group_name_H-M_alt 'C m c m'
_space_group_IT_number 63
_space_group_name_Hall '-C 2c 2'
loop_
_atom_site_label
_atom_site_fract_x
_atom_site_fract_y
_atom_site_fract_z
Os1 0.000 0.049 0.250
Os2 0.000 0.402 0.250
Au1 0.000 0.285 0.750
```

Output
The mass density comes out at 20.54 g/cm³. The calculation puts the excess energy over the best structure of this formula in the dataset at 1 meV/atom. The value obtained for the formation energy is 0.338 eV per atom.

***

[10]
Computed, not measured: a geometry-optimized Os3Au structure at the PBE level of DFT.

Geometry as CIF:
```
data_Os3Au
_cell_length_a 2.747
_cell_length_b 4.722
_cell_length_c 9.675
_cell_angle_alpha 90.00
_cell_angle_beta 90.00
_cell_angle_gamma 90.00
_space_group_name_H-M_alt 'C m m m'
_space_group_IT_number 65
_space_group_name_Hall '-C 2 2'
loop_
_atom_site_label
_atom_site_fract_x
_atom_site_fract_y
_atom_site_fract_z
Os1 0.000 0.000 0.000
Os2 0.000 0.500 0.235
Au1 0.000 0.000 0.500
```

Output
The mass density comes out at 20.31 g/cm³. The calculation puts the excess energy over the best structure of this formula in the dataset at 394 meV/atom. The value obtained for the formation energy is 0.714 eV per atom.

***

[11]
Computed, not measured: a geometry-optimized OsAu3 structure at the PBE level of DFT.

Geometry as CIF:
```
data_OsAu3
_cell_length_a 5.213
_cell_length_b 5.213
_cell_length_c 5.213
_cell_angle_alpha 90.00
_cell_angle_beta 90.00
_cell_angle_gamma 90.00
_space_group_name_H-M_alt 'P m -3 n'
_space_group_IT_number 223
_space_group_name_Hall '-P 4n 2 3'
loop_
_atom_site_label
_atom_site_fract_x
_atom_site_fract_y
_atom_site_fract_z
Os1 0.000 0.000 0.000
Au1 0.000 0.250 0.500
```

Output
The mass density comes out at 18.31 g/cm³. The calculation puts the excess energy over the best structure of this formula in the dataset at 462 meV/atom. The value obtained for the formation energy is 0.837 eV per atom.

***

[12]
Computed, not measured: a geometry-optimized Os5Au structure at the PBE level of DFT.

Geometry as CIF:
```
data_Os5Au
_cell_length_a 10.108
_cell_length_b 2.789
_cell_length_c 6.504
_cell_angle_alpha 90.00
_cell_angle_beta 104.24
_cell_angle_gamma 90.00
_space_group_name_H-M_alt 'C 1 m 1'
_space_group_IT_number 8
_space_group_name_Hall 'C -2y'
loop_
_atom_site_label
_atom_site_fract_x
_atom_site_fract_y
_atom_site_fract_z
Os1 0.000 0.000 0.000
Os2 0.054 0.000 0.624
Os3 0.227 0.500 0.946
Os4 0.343 0.000 0.683
Os5 0.398 0.000 0.276
Au1 0.173 0.500 0.343
```

Output
The mass density comes out at 21.45 g/cm³. The calculation puts the excess energy over the best structure of this formula in the dataset at 0 meV/atom. The value obtained for the formation energy is 0.312 eV per atom.

***

[13]
Computed, not measured: a geometry-optimized Os3Au structure at the PBE level of DFT.

Geometry as CIF:
```
data_Os3Au
_cell_length_a 4.452
_cell_length_b 5.531
_cell_length_c 4.916
_cell_angle_alpha 90.00
_cell_angle_beta 90.00
_cell_angle_gamma 90.00
_space_group_name_H-M_alt 'P m m n'
_space_group_IT_number 59
loop_
_space_group_symop_operation_xyz
'x,y,z'
'-x,-y,-z'
'-x+1/2,-y+1/2,z'
'x+1/2,y+1/2,-z'
'x+1/2,-y,-z'
'-x+1/2,y,z'
'-x,y+1/2,-z'
'x,-y+1/2,z'
loop_
_atom_site_label
_atom_site_fract_x
_atom_site_fract_y
_atom_site_fract_z
Os1 0.250 0.012 0.147
Os2 0.250 0.250 0.676
Au1 0.250 0.750 0.643
```

Output
The mass density comes out at 21.06 g/cm³. The calculation puts the excess energy over the best structure of this formula in the dataset at 226 meV/atom. The value obtained for the formation energy is 0.546 eV per atom.